Computed, not measured: crystalline SrSc2As at its relaxed geometry at the PBEsol level of DFT.

abc: 6.369 10.630 3.296
angles: 90.00 120.04 90.00
Space group C2/m (No. 12)
Unique sites:
1 Sr 0.000 0.000 0.000 [2 per cell]
2 Sc 0.250 0.250 0.500 [4 per cell]
3 As 0.000 0.500 0.000 [2 per cell]

Calculated density, g cm⁻³: 4.34
ΔH_f (0 K), eV per atom: -0.14

---

Computed, not measured: crystalline SrSc2As at its relaxed geometry at the PBEsol level of DFT.

abc: 3.7316 3.7316 29.2396
angles: 90.00 90.00 120.00
Space group R-3m (No. 166, hexagonal axes)
Unique sites:
1 Sr 0.0000 0.0000 0.0000 [3 per cell]
2 Sc 0.0000 0.0000 0.1159 [6 per cell]
3 As 0.0000 0.0000 0.5000 [3 per cell]

Calculated density, g cm⁻³: 3.57
ΔH_f (0 K), eV per atom: -0.39

---

Computed, not measured: crystalline SrSc2As at its relaxed geometry at the PBEsol level of DFT.

abc: 4.923 4.936 8.634
angles: 90.00 90.00 90.00
Space group Cmmm (No. 65)
Unique sites:
1 Sr 0.000 0.000 0.000 [2 per cell]
2 Sc 0.000 0.500 0.336 [4 per cell]
3 As 0.000 0.000 0.500 [2 per cell]

Calculated density, g cm⁻³: 4.00
ΔH_f (0 K), eV per atom: -0.40

---

Computed, not measured: crystalline Sr2ScTcAs at its relaxed geometry at the PBEsol level of DFT.

abc: 5.720 5.720 4.693
angles: 90.00 90.00 90.00
Space group P4/mmm (No. 123)
Unique sites:
1 Sr 0.000 0.500 0.000 [2 per cell]
2 Sc 0.000 0.000 0.500 [1 per cell]
3 Tc 0.500 0.500 0.000 [1 per cell]
4 As 0.500 0.500 0.500 [1 per cell]

Calculated density, g cm⁻³: 4.25
ΔH_f (0 K), eV per atom: 0.48

---

Computed, not measured: crystalline SrScTcAs2 at its relaxed geometry at the PBEsol level of DFT.

abc: 5.321 5.321 5.053
angles: 90.00 90.00 90.00
Space group P4/mmm (No. 123)
Unique sites:
1 Sr 0.000 0.000 0.000 [1 per cell]
2 Sc 0.000 0.000 0.500 [1 per cell]
3 Tc 0.500 0.500 0.500 [1 per cell]
4 As 0.000 0.500 0.000 [2 per cell]

Calculated density, g cm⁻³: 4.42
ΔH_f (0 K), eV per atom: 1.86

---

Computed, not measured: crystalline ScTa2As at its relaxed geometry at the PBEsol level of DFT.

abc: 3.908 3.908 4.536
angles: 90.00 90.00 90.00
Space group P4/mmm (No. 123)
Unique sites:
1 Sc 0.000 0.000 0.000 [1 per cell]
2 Ta 0.000 0.500 0.500 [2 per cell]
3 As 0.500 0.500 0.000 [1 per cell]

Calculated density, g cm⁻³: 11.55
ΔH_f (0 K), eV per atom: -0.21

---

Computed, not measured: crystalline ScTa2As at its relaxed geometry at the PBEsol level of DFT.

abc: 9.082 3.301 4.848
angles: 90.00 104.76 90.00
Space group Cm (No. 8)
Unique sites:
1 Sc 0.000 0.000 0.000 [2 per cell]
2 Ta 0.234 0.000 0.722 [2 per cell]
3 Ta 0.473 0.000 0.462 [2 per cell]
4 As 0.242 0.500 0.242 [2 per cell]

Calculated density, g cm⁻³: 11.38
ΔH_f (0 K), eV per atom: -0.16

---

Computed, not measured: crystalline ScTcAs4 at its relaxed geometry at the PBEsol level of DFT.

abc: 7.532 7.532 7.532
angles: 90.00 90.00 90.00
Space group F-43m (No. 216)
Unique sites:
1 Sc 0.000 0.000 0.000 [4 per cell]
2 Tc 0.250 0.250 0.750 [4 per cell]
3 As 0.125 0.125 0.375 [16 per cell]

Calculated density, g cm⁻³: 6.88
ΔH_f (0 K), eV per atom: 0.40

---

Computed, not measured: crystalline ScTc2As at its relaxed geometry at the PBEsol level of DFT.

abc: 3.322 4.060 9.115
angles: 90.00 90.00 90.00
Space group Immm (No. 71)
Unique sites:
1 Sc 0.000 0.000 0.000 [2 per cell]
2 Tc 0.000 0.500 0.249 [4 per cell]
3 As 0.000 0.000 0.500 [2 per cell]

Calculated density, g cm⁻³: 8.53
ΔH_f (0 K), eV per atom: -0.14

---

Computed, not measured: crystalline ScTcAs at its relaxed geometry at the PBEsol level of DFT.

abc: 4.2325 4.2325 3.2321
angles: 90.00 90.00 120.00
Space group P-6m2 (No. 187)
Unique sites:
1 Sc 0.0000 0.0000 0.0000 [1 per cell]
2 Tc 0.3333 0.6667 0.5000 [1 per cell]
3 As 0.6667 0.3333 0.5000 [1 per cell]

Polymorph energy (0 for the lowest one), eV per atom: 0.000
Calculated density, g cm⁻³: 7.22
ΔH_f (0 K), eV per atom: -0.50

---

Computed, not measured: crystalline ScTc2As at its relaxed geometry at the PBEsol level of DFT.

abc: 6.248 6.248 6.248
angles: 90.00 90.00 90.00
Space group F-43m (No. 216)
Unique sites:
1 Sc 0.000 0.000 0.000 [4 per cell]
2 Tc 0.000 0.000 0.500 [4 per cell]
3 Tc 0.250 0.250 0.750 [4 per cell]
4 As 0.250 0.250 0.250 [4 per cell]

Calculated density, g cm⁻³: 8.60
ΔH_f (0 K), eV per atom: -0.04

---

Computed, not measured: crystalline ScTcAs2 at its relaxed geometry at the PBEsol level of DFT.

abc: 6.363 6.363 6.363
angles: 90.00 90.00 90.00
Space group F-43m (No. 216)
Unique sites:
1 Sc 0.000 0.000 0.000 [4 per cell]
2 Tc 0.250 0.250 0.250 [4 per cell]
3 As 0.000 0.000 0.500 [4 per cell]
4 As 0.250 0.250 0.750 [4 per cell]

Polymorph energy (0 for the lowest one), eV per atom: 0.153
Calculated density, g cm⁻³: 7.55
ΔH_f (0 K), eV per atom: -0.13

---

no.,N(E_F) (states/eV/f.u.)
1,3.66
2,3.73
3,4.61
4,7.44
5,5.49
6,2.63
7,2.31
8,5.22
9,3.47
10,2.07
11,6.33
12,2.26